[1]
# LiLaPu2O8 PBE optimized geometry
data_LiLaPu2O8
_chemical_formula_sum 'Li1 La1 Pu2 O8'
_cell_length_a 5.0685
_cell_length_b 6.9570
_cell_length_c 5.0784
_cell_angle_alpha 90.00
_cell_angle_beta 93.65
_cell_angle_gamma 90.00
_symmetry_space_group_name_H-M 'P 1 2/m 1'
_symmetry_Int_Tables_number 10
_symmetry_space_group_name_Hall '-P 2y'
loop_
_atom_site_label
_atom_site_fract_x
_atom_site_fract_y
_atom_site_fract_z
Li1 0.0000 0.0000 0.0000
La1 0.0000 0.5000 0.0000
Pu1 0.5000 0.2404 0.5000
O1 0.2204 0.2346 0.2226
O2 0.3248 0.0000 0.6765
O3 0.3246 0.5000 0.6773
# uncorrected formation energy = -2674 meV/atom

=====

[2]
# Sm2GaNi2 PBE optimized geometry
data_Sm2GaNi2
_chemical_formula_sum 'Sm4 Ga2 Ni4'
_cell_length_a 4.2371
_cell_length_b 5.4058
_cell_length_c 8.5042
_cell_angle_alpha 90.00
_cell_angle_beta 90.00
_cell_angle_gamma 90.00
_symmetry_space_group_name_H-M 'I m m m'
_symmetry_Int_Tables_number 71
_symmetry_space_group_name_Hall '-I 2 2'
loop_
_atom_site_label
_atom_site_fract_x
_atom_site_fract_y
_atom_site_fract_z
Sm1 0.0000 0.0000 0.2002
Ga1 0.0000 0.5000 0.0000
Ni1 0.0000 0.2638 0.5000
# E_tot = -53.1 eV per cell

=====

[3]
# La2Nd5Ho12 PBE optimized geometry
data_La2Nd5Ho12
_chemical_formula_sum 'La2 Nd5 Ho12'
_cell_length_a 6.7961
_cell_length_b 8.8508
_cell_length_c 11.5230
_cell_angle_alpha 110.87
_cell_angle_beta 92.39
_cell_angle_gamma 100.46
_symmetry_space_group_name_H-M 'P -1'
_symmetry_Int_Tables_number 2
_symmetry_space_group_name_Hall '-P 1'
loop_
_atom_site_label
_atom_site_fract_x
_atom_site_fract_y
_atom_site_fract_z
La1 0.1557 0.3824 0.0747
Nd1 0.0472 0.1865 0.4606
Nd2 0.3762 0.7392 0.9870
Nd3 0.5000 0.0000 0.5000
Ho1 0.1170 0.7808 0.2504
Ho2 0.1507 0.9781 0.8664
Ho3 0.1664 0.5725 0.6862
Ho4 0.3440 0.5569 0.4143
Ho5 0.3854 0.1429 0.2330
Ho6 0.3880 0.3068 0.7764
# E_tot = -87.1 eV per cell

=====

[4]
# YGaCl2 PBE optimized geometry
data_YGaCl2
_chemical_formula_sum 'Y4 Ga4 Cl8'
_cell_length_a 4.6731
_cell_length_b 4.6731
_cell_length_c 18.4946
_cell_angle_alpha 90.00
_cell_angle_beta 90.00
_cell_angle_gamma 90.00
_symmetry_space_group_name_H-M 'I -4 2 d'
_symmetry_Int_Tables_number 122
_symmetry_space_group_name_Hall 'I -4 2bw'
loop_
_atom_site_label
_atom_site_fract_x
_atom_site_fract_y
_atom_site_fract_z
Y1 0.0000 0.0000 0.0000
Ga1 0.0000 0.0000 0.5000
Cl1 0.2282 0.2500 0.1250
# uncorrected formation energy = -981 meV/atom

=====

[5]
# V2Pb2C PBE optimized geometry
data_V2Pb2C
_chemical_formula_sum 'V4 Pb4 C2'
_cell_length_a 4.1032
_cell_length_b 4.1032
_cell_length_c 12.7112
_cell_angle_alpha 90.00
_cell_angle_beta 90.00
_cell_angle_gamma 90.00
_symmetry_space_group_name_H-M 'I 4/m m m'
_symmetry_Int_Tables_number 139
_symmetry_space_group_name_Hall '-I 4 2'
loop_
_atom_site_label
_atom_site_fract_x
_atom_site_fract_y
_atom_site_fract_z
V1 0.0000 0.0000 0.0730
Pb1 0.0000 0.5000 0.2500
C1 0.0000 0.0000 0.5000
# E_tot = -51.0 eV per cell

=====

[6]
# InCuAg2O4 PBE optimized geometry
data_InCuAg2O4
_chemical_formula_sum 'In2 Cu2 Ag4 O8'
_cell_length_a 8.0925
_cell_length_b 6.6283
_cell_length_c 5.7296
_cell_angle_alpha 90.00
_cell_angle_beta 134.84
_cell_angle_gamma 90.00
_symmetry_space_group_name_H-M 'C 1 2 1'
_symmetry_Int_Tables_number 5
_symmetry_space_group_name_Hall 'C 2y'
loop_
_atom_site_label
_atom_site_fract_x
_atom_site_fract_y
_atom_site_fract_z
In1 0.0000 0.0000 0.0000
Cu1 0.0000 0.2501 0.5000
Ag1 0.0000 0.5002 0.0000
Ag2 0.0000 0.7493 0.5000
O1 0.1667 0.2167 0.3805
O2 0.2149 0.7828 0.0483
# uncorrected formation energy = -522 meV/atom

=====

no.,density of states at the Fermi level (states/eV per atom)
1,0.30
2,0.64
3,1.51
4,0.95
5,1.06
6,0.52